1.
The following is a PBE calculation of an optimized crystal structure of Dy2TiTl, from Alexandria.

Unit cell a=4.811 b=4.811 c=4.416 alpha=90.00 beta=90.00 gamma=90.00
Space group P4/mmm (No. 123)
One atom of each set of equivalent atoms:
Dy 0.000 0.500 0.000
Ti 0.000 0.000 0.500
Tl 0.500 0.500 0.500

**Total magnetic moment**: 2.453 μB per formula unit
**Calculated total energy**: -4.8911 eV per atom
**Distance to the lowest polymorph of the same formula**: 0.00 eV per formula unit
**DOS at the Fermi energy**: 3.99 states/eV/cell
**ΔE_f**: -0.025 eV/atom

=====

2.
The following is a PBE calculation of an optimized crystal structure of Dy2TiTl, from Alexandria.

Unit cell a=3.527 b=3.527 c=8.340 alpha=90.00 beta=90.00 gamma=90.00
Space group P4/mmm (No. 123)
One atom of each set of equivalent atoms:
Dy 0.000 0.000 0.242
Ti 0.500 0.500 0.000
Tl 0.500 0.500 0.500

**Total magnetic moment**: 0.016 μB per formula unit
**Calculated total energy**: -4.8868 eV per atom
**Distance to the lowest polymorph of the same formula**: 0.02 eV per formula unit
**DOS at the Fermi energy**: 5.75 states/eV/cell
**ΔE_f**: -0.020 eV/atom

=====

3.
The following is a PBE calculation of an optimized crystal structure of DyTiTl, from Alexandria.

Unit cell a=4.279 b=4.279 c=8.089 alpha=90.00 beta=90.00 gamma=90.00
Space group P4/nmm (No. 129, origin choice 2)
One atom of each set of equivalent atoms:
Dy 0.250 0.250 0.161
Ti 0.250 0.750 0.500
Tl 0.250 0.250 0.755

**Total magnetic moment**: 0.866 μB per formula unit
**Calculated total energy**: -5.0641 eV per atom
**DOS at the Fermi energy**: 6.88 states/eV/cell
**ΔE_f**: -0.110 eV/atom

=====

4.
The following is a PBE calculation of an optimized crystal structure of Dy2TiTl, from Alexandria.

Unit cell a=7.458 b=7.458 c=7.458 alpha=90.00 beta=90.00 gamma=90.00
Space group Fm-3m (No. 225)
One atom of each set of equivalent atoms:
Dy 0.250 0.250 0.250
Ti 0.000 0.000 0.000
Tl 0.000 0.000 0.500

**Total magnetic moment**: 2.828 μB per formula unit
**Calculated total energy**: -4.8659 eV per atom
**Distance to the lowest polymorph of the same formula**: 0.10 eV per formula unit
**DOS at the Fermi energy**: 18.23 states/eV/cell
**ΔE_f**: 0.000 eV/atom

=====

5.
The following is a PBE calculation of an optimized crystal structure of Dy2TiTl, from Alexandria.

Unit cell a=3.3391 b=3.3391 c=33.9398 alpha=90.00 beta=90.00 gamma=120.00
Space group R-3m (No. 166, hexagonal axes)
One atom of each set of equivalent atoms:
Dy 0.0000 0.0000 0.0869
Ti 0.0000 0.0000 0.0000
Tl 0.0000 0.0000 0.5000

**Total magnetic moment**: 2.030 μB per formula unit
**Calculated total energy**: -4.5255 eV per atom
**Distance to the lowest polymorph of the same formula**: 1.46 eV per formula unit
**DOS at the Fermi energy**: 13.37 states/eV/cell
**ΔE_f**: 0.341 eV/atom

=====

6.
The following is a PBE calculation of an optimized crystal structure of DyTiTlZn, from Alexandria.

Unit cell a=6.993 b=6.993 c=6.993 alpha=90.00 beta=90.00 gamma=90.00
Space group F-43m (No. 216)
One atom of each set of equivalent atoms:
Dy 0.000 0.000 0.000
Ti 0.000 0.000 0.500
Tl 0.250 0.250 0.250
Zn 0.250 0.250 0.750

**Total magnetic moment**: 0.000 μB per formula unit
**Calculated total energy**: -4.1001 eV per atom
**DOS at the Fermi energy**: 9.99 states/eV/cell
**ΔE_f**: -0.066 eV/atom

=====

7.
The following is a PBE calculation of an optimized crystal structure of DyTm2Ti, from Alexandria.

Unit cell a=3.3271 b=3.3271 c=34.7535 alpha=90.00 beta=90.00 gamma=120.00
Space group R-3m (No. 166, hexagonal axes)
One atom of each set of equivalent atoms:
Dy 0.0000 0.0000 0.0000
Tm 0.0000 0.0000 0.4160
Ti 0.0000 0.0000 0.5000

**Total magnetic moment**: 1.920 μB per formula unit
**Calculated total energy**: -4.9522 eV per atom
**Distance to the lowest polymorph of the same formula**: 1.03 eV per formula unit
**DOS at the Fermi energy**: 17.33 states/eV/cell
**ΔE_f**: 0.408 eV/atom

=====

8.
The following is a PBE calculation of an optimized crystal structure of DyTm2Ti, from Alexandria.

Unit cell a=3.353 b=3.353 c=9.509 alpha=90.00 beta=90.00 gamma=90.00
Space group P4/mmm (No. 123)
One atom of each set of equivalent atoms:
Dy 0.000 0.000 0.000
Tm 0.500 0.500 0.281
Ti 0.000 0.000 0.500

**Total magnetic moment**: 0.000 μB per formula unit
**Calculated total energy**: -5.2101 eV per atom
**Distance to the lowest polymorph of the same formula**: 0.00 eV per formula unit
**DOS at the Fermi energy**: 6.40 states/eV/cell
**ΔE_f**: 0.150 eV/atom

=====

9.
The following is a PBE calculation of an optimized crystal structure of Dy2TmTi, from Alexandria.

Unit cell a=3.399 b=3.399 c=9.383 alpha=90.00 beta=90.00 gamma=90.00
Space group P4/mmm (No. 123)
One atom of each set of equivalent atoms:
Dy 0.000 0.000 0.222
Tm 0.500 0.500 0.500
Ti 0.500 0.500 0.000

**Total magnetic moment**: 0.001 μB per formula unit
**Calculated total energy**: -5.2288 eV per atom
**Distance to the lowest polymorph of the same formula**: 0.00 eV per formula unit
**DOS at the Fermi energy**: 6.23 states/eV/cell
**ΔE_f**: 0.164 eV/atom

=====

10.
The following is a PBE calculation of an optimized crystal structure of Dy2TmTi, from Alexandria.

Unit cell a=3.4035 b=3.4035 c=32.4788 alpha=90.00 beta=90.00 gamma=120.00
Space group R3m (No. 160, hexagonal axes)
One atom of each set of equivalent atoms:
Dy 0.0000 0.0000 0.0000
Dy 0.0000 0.0000 0.1810
Tm 0.0000 0.0000 0.4236
Ti 0.0000 0.0000 0.5903

**Total magnetic moment**: 0.000 μB per formula unit
**Calculated total energy**: -5.1988 eV per atom
**Distance to the lowest polymorph of the same formula**: 0.12 eV per formula unit
**DOS at the Fermi energy**: 19.69 states/eV/cell
**ΔE_f**: 0.194 eV/atom

=====

Copy entry 6 word for word.
The following is a PBE calculation of an optimized crystal structure of DyTiTlZn, from Alexandria.

Unit cell a=6.993 b=6.993 c=6.993 alpha=90.00 beta=90.00 gamma=90.00
Space group F-43m (No. 216)
One atom of each set of equivalent atoms:
Dy 0.000 0.000 0.000
Ti 0.000 0.000 0.500
Tl 0.250 0.250 0.250
Zn 0.250 0.250 0.750

**Total magnetic moment**: 0.000 μB per formula unit
**Calculated total energy**: -4.1001 eV per atom
**DOS at the Fermi energy**: 9.99 states/eV/cell
**ΔE_f**: -0.066 eV/atom

=====

The highest total magnetic moment belongs to which entry?
number 4

=====

Which formula does entry 1 have?
Dy2TiTl